{
  "formula": "Th2Al3Ag",
  "functional": "PBE-GGA",
  "state": "relaxed",
  "lattice_angstrom": [[-2.0725, 2.2394, 7.7568], [2.0725, -2.2394, 7.7568], [2.0725, 2.2394, -7.7568]],
  "species": ["Th", "Th", "Al", "Al", "Al", "Ag"],
  "fractional_positions": [[0.0000, 0.0000, 0.0000], [0.7701, 0.2701, 0.5000], [0.1748, 0.6748, 0.5000], [0.3401, 0.8401, 0.5000], [0.4313, 0.4313, 0.0000], [0.5963, 0.5963, 0.0000]],
  "dos_ef_per_ev_atom": 0.745,
  "e_form_ev_per_atom": -0.34,
  "final_energy_ev_per_atom": -5.16,
  "total_magnetization_mub_per_fu": 0.0
}

{
  "formula": "Th2AlAg3",
  "functional": "PBE-GGA",
  "state": "relaxed",
  "lattice_angstrom": [[3.4389, 0.0000, 0.0000], [0.0000, 4.8167, 0.0000], [0.0000, 0.0000, 8.3926]],
  "species": ["Th", "Th", "Al", "Ag", "Ag", "Ag"],
  "fractional_positions": [[0.0000, 0.0000, 0.0000], [0.0000, 0.5000, 0.4974], [0.5000, 0.0000, 0.3294], [0.5000, 0.0000, 0.6570], [0.5000, 0.5000, 0.1717], [0.5000, 0.5000, 0.8332]],
  "dos_ef_per_ev_atom": 0.838,
  "e_form_ev_per_atom": -0.22,
  "final_energy_ev_per_atom": -4.74,
  "total_magnetization_mub_per_fu": 0.0
}

{
  "formula": "ThAlAg3",
  "functional": "PBE-GGA",
  "state": "relaxed",
  "lattice_angstrom": [[2.9908, -5.9340, 0.0000], [2.9908, 5.9340, 0.0000], [0.0000, 0.0000, 6.0580]],
  "species": ["Th", "Th", "Al", "Al", "Ag", "Ag", "Ag", "Ag", "Ag", "Ag"],
  "fractional_positions": [[0.2497, 0.7503, 0.7500], [0.7503, 0.2497, 0.2500], [0.1297, 0.8703, 0.2500], [0.8703, 0.1297, 0.7500], [0.2513, 0.2513, 0.0000], [0.2513, 0.2513, 0.5000], [0.3447, 0.6553, 0.2500], [0.6553, 0.3447, 0.7500], [0.7487, 0.7487, 0.0000], [0.7487, 0.7487, 0.5000]],
  "dos_ef_per_ev_atom": 0.777,
  "e_form_ev_per_atom": -0.11,
  "final_energy_ev_per_atom": -4.06,
  "total_magnetization_mub_per_fu": 0.0
}